A plane-wave DFT calculation with PBEsol was carried out for a geometry-optimized KRe3Si structure.

Cell: 4.4291 4.4291 4.4291 Å, 90.00 90.00 90.00°
Closest atoms and distances in Å follow each position.
Fractional coordinates of all 5 atoms:
K1 0.0000 0.0000 0.0000  6 Re 2.21
Re1 0.0000 0.0000 0.5000  2 K 2.21
Re2 0.0000 0.5000 0.0000  2 K 2.21
Re3 0.5000 0.0000 0.0000  2 K 2.21
Si1 0.5000 0.5000 0.5000  12 Re 3.13

- Space group: No. 221
- M_tot: 0.0 μB per formula unit
- Final energy: -27.03 eV/f.u.
- Uncorrected formation energy: 3.970 eV per atom

=====

A plane-wave DFT calculation with PBEsol was carried out for a geometry-optimized TbCo2Ni3 structure.

Cell: 4.6882 8.5135 3.9223 Å, 90.00 90.00 90.00°
Closest atoms and distances in Å follow each position.
Fractional coordinates of all 12 atoms:
Tb1 0.0000 0.0000 0.0000  10 Ni 2.75-3.06
Tb2 0.5000 0.5000 0.0000  10 Ni 2.75-3.06
Co1 0.2500 0.2500 0.5000  2 Co 2.34, 6 Ni 2.39-2.43
Co2 0.2500 0.7500 0.5000  2 Co 2.34, 6 Ni 2.39-2.43
Co3 0.7500 0.2500 0.5000  2 Co 2.34, 6 Ni 2.39-2.43
Co4 0.7500 0.7500 0.5000  2 Co 2.34, 6 Ni 2.39-2.43
Ni1 0.0000 0.3305 0.0000  4 Co 2.39, 2 Ni 2.43
Ni2 0.0000 0.5000 0.5000  4 Co 2.43, 4 Ni 2.43
Ni3 0.0000 0.6695 0.0000  4 Co 2.39, 2 Ni 2.43
Ni4 0.5000 0.0000 0.5000  4 Co 2.43, 4 Ni 2.43
Ni5 0.5000 0.1695 0.0000  4 Co 2.39, 2 Ni 2.43
Ni6 0.5000 0.8305 0.0000  4 Co 2.39, 2 Ni 2.43

- Space group: No. 65
- M_tot: 3.7 μB per formula unit
- Final energy: -40.33 eV/f.u.
- Energy relative to the elements: -1.37 eV per formula unit

=====

Copy entry 1 word for word.
A plane-wave DFT calculation with PBEsol was carried out for a geometry-optimized KRe3Si structure.

Cell: 4.4291 4.4291 4.4291 Å, 90.00 90.00 90.00°
Closest atoms and distances in Å follow each position.
Fractional coordinates of all 5 atoms:
K1 0.0000 0.0000 0.0000  6 Re 2.21
Re1 0.0000 0.0000 0.5000  2 K 2.21
Re2 0.0000 0.5000 0.0000  2 K 2.21
Re3 0.5000 0.0000 0.0000  2 K 2.21
Si1 0.5000 0.5000 0.5000  12 Re 3.13

- Space group: No. 221
- M_tot: 0.0 μB per formula unit
- Final energy: -27.03 eV/f.u.
- Uncorrected formation energy: 3.970 eV per atom